Below is a relaxed LiScSiPd crystal, with properties calculated at the PBE-GGA level.

The density comes out at 5.19 Mg/m³. The total energy comes out at -5.463 eV/atom.

The space group is F-43m (No. 216) and the conventional cell measures 6.201, 6.201 and 6.201 Å, with angles of 90.00, 90.00 and 90.00 degrees. The distinct sites, in fractional coordinates, are Li at (0.000, 0.000, 0.000), Sc at (0.250, 0.250, 0.750), Si at (0.250, 0.250, 0.250) and Pd at (0.000, 0.000, 0.500).